(1)
A plane-wave DFT calculation with PBE-GGA was carried out for a geometry-optimized RbPbICl2 structure.

Summary:
**Raw total energy**: -3.2648 eV/atom
**Calculated volume**: 208.5 Å³/cell
**Space group**: P4/mmm

a = 5.697 Å, b = 5.697 Å, c = 6.424 Å
α = 90.00°, β = 90.00°, γ = 90.00°
Fractional coordinates of all 5 atoms:
Cl  0.500  0.000  0.000
Cl  0.000  0.500  0.000
Pb  0.000  0.000  0.000
Rb  0.500  0.500  0.500
I  0.000  0.000  0.500



(2)
A plane-wave DFT calculation with PBE-GGA was carried out for a geometry-optimized Rb2PbI3Cl structure.

Summary:
**Raw total energy**: -2.9581 eV/atom
**Calculated volume**: 342.3 Å³/cell
**Space group**: Immm

a = 5.683 Å, b = 6.317 Å, c = 10.438 Å
α = 107.62°, β = 105.80°, γ = 90.00°
Fractional coordinates of all 7 atoms:
Rb  0.639  0.639  0.278
Rb  0.361  0.361  0.722
I  0.830  0.830  0.661
I  0.170  0.170  0.339
I  0.000  0.500  0.000
Cl  0.500  0.000  0.000
Pb  0.000  0.000  0.000



(3)
A plane-wave DFT calculation with PBE-GGA was carried out for a geometry-optimized RbPb2ICl4 structure.

Summary:
**Raw total energy**: -3.3511 eV/atom
**Calculated volume**: 274.2 Å³/cell
**Space group**: P4/mmm

a = 4.881 Å, b = 4.881 Å, c = 11.508 Å
α = 90.00°, β = 90.00°, γ = 90.00°
Fractional coordinates of all 8 atoms:
Cl  0.000  0.500  0.803
Cl  0.500  0.000  0.197
Cl  0.000  0.500  0.197
Cl  0.500  0.000  0.803
Pb  0.500  0.500  0.679
Pb  0.500  0.500  0.321
Rb  0.000  0.000  0.000
I  0.000  0.000  0.500



(4)
A plane-wave DFT calculation with PBE-GGA was carried out for a geometry-optimized SbPbI2Cl structure.

Summary:
**Energy relative to the lowest polymorph listed for this composition**: 0.0 meV/atom
**Calculated volume**: 226.6 Å³/cell
**Space group**: P4/mmm

a = 6.044 Å, b = 6.044 Å, c = 6.202 Å
α = 90.00°, β = 90.00°, γ = 90.00°
Fractional coordinates of all 5 atoms:
Sb  0.000  0.000  0.500
I  0.000  0.500  0.000
I  0.500  0.000  0.000
Pb  0.000  0.000  0.000
Cl  0.500  0.500  0.500



(5)
A plane-wave DFT calculation with PBE-GGA was carried out for a geometry-optimized SbPbI2Cl structure.

Summary:
**Energy relative to the lowest polymorph listed for this composition**: 79.3 meV/atom
**Calculated volume**: 190.1 Å³/cell
**Space group**: P4/mmm

a = 6.077 Å, b = 6.077 Å, c = 5.148 Å
α = 90.00°, β = 90.00°, γ = 90.00°
Fractional coordinates of all 5 atoms:
I  0.500  0.000  0.000
I  0.000  0.500  0.000
Cl  0.000  0.000  0.000
Pb  0.500  0.500  0.500
Sb  0.000  0.000  0.500



(6)
A plane-wave DFT calculation with PBE-GGA was carried out for a geometry-optimized Sb2PbICl structure.

Summary:
**Energy relative to the lowest polymorph listed for this composition**: 175.0 meV/atom
**Calculated volume**: 218.3 Å³/cell
**Space group**: P4/mmm

a = 6.016 Å, b = 6.016 Å, c = 6.033 Å
α = 90.00°, β = 90.00°, γ = 90.00°
Fractional coordinates of all 5 atoms:
Pb  0.000  0.000  0.000
I  0.000  0.000  0.500
Cl  0.500  0.500  0.500
Sb  0.500  0.000  0.000
Sb  0.000  0.500  0.000



(7)
A plane-wave DFT calculation with PBE-GGA was carried out for a geometry-optimized Sb2PbICl structure.

Summary:
**Energy relative to the lowest polymorph listed for this composition**: 0.0 meV/atom
**Calculated volume**: 180.7 Å³/cell
**Space group**: P4/mmm

a = 5.167 Å, b = 5.167 Å, c = 6.768 Å
α = 90.00°, β = 90.00°, γ = 90.00°
Fractional coordinates of all 5 atoms:
Sb  0.500  0.000  0.000
Sb  0.000  0.500  0.000
Pb  0.500  0.500  0.500
I  0.000  0.000  0.500
Cl  0.000  0.000  0.000



(8)
A plane-wave DFT calculation with PBE-GGA was carried out for a geometry-optimized Pb2SeICl structure.

Summary:
**Raw total energy**: -3.5640 eV/atom
**Calculated volume**: 174.8 Å³/cell
**Space group**: P3m1

a = 4.933 Å, b = 4.933 Å, c = 8.292 Å
α = 90.00°, β = 90.00°, γ = 120.00°
Fractional coordinates of all 5 atoms:
Se  0.333  0.667  0.624
Pb  0.333  0.667  0.275
Pb  0.667  0.333  0.741
Cl  0.667  0.333  0.346
I  0.000  0.000  0.014



Repeat the sixth record exactly.
A plane-wave DFT calculation with PBE-GGA was carried out for a geometry-optimized Sb2PbICl structure.

Summary:
**Energy relative to the lowest polymorph listed for this composition**: 175.0 meV/atom
**Calculated volume**: 218.3 Å³/cell
**Space group**: P4/mmm

a = 6.016 Å, b = 6.016 Å, c = 6.033 Å
α = 90.00°, β = 90.00°, γ = 90.00°
Fractional coordinates of all 5 atoms:
Pb  0.000  0.000  0.000
I  0.000  0.000  0.500
Cl  0.500  0.500  0.500
Sb  0.500  0.000  0.000
Sb  0.000  0.500  0.000



The lowest calculated volume belongs to which entry?
Pb2SeICl



Please write out number 2 again, unchanged.
A plane-wave DFT calculation with PBE-GGA was carried out for a geometry-optimized Rb2PbI3Cl structure.

Summary:
**Raw total energy**: -2.9581 eV/atom
**Calculated volume**: 342.3 Å³/cell
**Space group**: Immm

a = 5.683 Å, b = 6.317 Å, c = 10.438 Å
α = 107.62°, β = 105.80°, γ = 90.00°
Fractional coordinates of all 7 atoms:
Rb  0.639  0.639  0.278
Rb  0.361  0.361  0.722
I  0.830  0.830  0.661
I  0.170  0.170  0.339
I  0.000  0.500  0.000
Cl  0.500  0.000  0.000
Pb  0.000  0.000  0.000



What is the formula in the second record?
Rb2PbI3Cl